## Ho3AgPt2 (PBE)

Data for a relaxed Ho3AgPt2 crystal. Values from VASP.

```
&SYSTEM
  ibrav = 0, nat = 6, ntyp = 3
/
ATOMIC_SPECIES
Ho 164.93 Ho.upf
Pt 195.08 Pt.upf
Ag 107.87 Ag.upf
ATOMIC_POSITIONS angstrom
Ho -4.300 -2.932 2.367
Ho -1.299 -1.408 2.460
Ho -2.723 1.266 0.567
Pt -3.042 -1.632 -0.046
Pt -1.632 -4.345 1.863
Ag 0.000 0.000 0.000
CELL_PARAMETERS angstrom
-0.925 1.638 3.010
-4.522 0.894 -1.876
-0.152 -6.871 3.692
```

Calculated values
DFT total energy: -5.73 eV/atom
symmetry: Cmmm, No. 65
ΔE_f: -949 meV per atom

=====

## KBaCa (PBE)

Data for a relaxed KBaCa crystal. Values from VASP.

```
&SYSTEM
  ibrav = 0, nat = 6, ntyp = 3
/
ATOMIC_SPECIES
Ba 137.33 Ba.upf
Ca 40.08 Ca.upf
K 39.10 K.upf
ATOMIC_POSITIONS angstrom
Ba -6.157 -1.753 -3.380
Ba -2.434 -3.039 -4.122
Ca -4.372 -0.200 -6.994
Ca -5.343 -4.001 -7.167
K -8.489 1.220 -6.172
K -9.300 -2.638 -6.377
CELL_PARAMETERS angstrom
-1.124 0.590 -6.657
-2.505 -5.240 -3.491
-8.073 2.788 1.609
```

Calculated values
DFT total energy: -1.56 eV/atom
symmetry: P-3m1, No. 164
ΔE_f: 110 meV per atom
ΔE to the lowest computed polymorph: 0.030 eV/atom

=====

## SrLa2Cl (PBE)

Data for a relaxed SrLa2Cl crystal. Values from VASP.

```
&SYSTEM
  ibrav = 0, nat = 4, ntyp = 3
/
ATOMIC_SPECIES
Sr 87.62 Sr.upf
La 138.91 La.upf
Cl 35.45 Cl.upf
ATOMIC_POSITIONS angstrom
Sr 2.864 2.924 1.587
La 6.958 2.921 0.000
La 0.000 0.000 0.000
Cl 4.093 -0.003 1.587
CELL_PARAMETERS angstrom
8.187 -0.006 0.000
5.729 5.848 0.000
-6.958 -2.921 3.175
```

Calculated values
DFT total energy: -3.69 eV/atom
symmetry: I4/mmm, No. 139
E_form (uncorrected): -0.344 eV/atom
ΔE to the lowest computed polymorph: 0.335 eV/atom

=====

## YRuOF2 (PBE)

Data for a relaxed YRuOF2 crystal. Values from VASP.

```
&SYSTEM
  ibrav = 0, nat = 5, ntyp = 4
/
ATOMIC_SPECIES
O 16.00 O.upf
Y 88.91 Y.upf
F 19.00 F.upf
Ru 101.07 Ru.upf
ATOMIC_POSITIONS angstrom
O 0.971 -1.274 0.997
Y 1.692 -2.803 -1.658
F -0.940 -1.638 -1.178
F 1.661 0.109 -1.477
Ru 0.000 0.000 0.000
CELL_PARAMETERS angstrom
-1.880 -3.276 -2.355
3.322 0.218 -2.955
1.941 -2.548 1.995
```

Calculated values
DFT total energy: -6.22 eV/atom
symmetry: P4/mmm, No. 123
E_form (uncorrected): -1.329 eV/atom
ΔE to the lowest computed polymorph: 0.398 eV/atom

=====

## Fe6Se7 (PBE)

Data for a relaxed Fe6Se7 crystal. Values from VASP.

```
&SYSTEM
  ibrav = 0, nat = 13, ntyp = 2
/
ATOMIC_SPECIES
Fe 55.84 Fe.upf
Se 78.96 Se.upf
ATOMIC_POSITIONS angstrom
Fe -6.077 -12.998 0.158
Fe -8.118 -17.365 0.211
Fe -7.173 -15.343 0.187
Fe -1.900 -4.065 0.049
Fe -2.997 -6.410 0.078
Fe -0.955 -2.043 0.025
Se -4.537 -9.704 0.118
Se -4.901 -7.334 -1.266
Se -4.931 -11.758 -1.696
Se -4.172 -12.074 1.502
Se -2.016 -8.672 -0.378
Se -7.057 -10.736 0.614
Se -4.142 -7.650 1.932
CELL_PARAMETERS angstrom
-2.081 -6.956 -3.720
-0.512 -7.610 2.897
-6.480 -4.842 1.059
```

Calculated values
DFT total energy: -5.19 eV/atom
symmetry: R-3m, No. 166
E_form (uncorrected): 0.596 eV/atom

=====

## LiMgVRh (PBE)

Data for a relaxed LiMgVRh crystal. Values from VASP.

```
&SYSTEM
  ibrav = 0, nat = 4, ntyp = 4
/
ATOMIC_SPECIES
Rh 102.91 Rh.upf
V 50.94 V.upf
Li 6.94 Li.upf
Mg 24.30 Mg.upf
ATOMIC_POSITIONS angstrom
Rh 0.000 0.000 0.000
V 2.170 1.253 0.886
Li 4.339 2.505 1.771
Mg 6.509 3.758 2.657
CELL_PARAMETERS angstrom
4.339 0.000 0.000
2.170 3.758 0.000
2.170 1.253 3.543
```

Calculated values
DFT total energy: -5.12 eV/atom
symmetry: F-43m, No. 216
ΔE_f: -127 meV per atom

=====

## PaNiSb2 (PBE)

Data for a relaxed PaNiSb2 crystal. Values from VASP.

```
&SYSTEM
  ibrav = 0, nat = 4, ntyp = 3
/
ATOMIC_SPECIES
Pa 231.04 Pa.upf
Sb 121.76 Sb.upf
Ni 58.69 Ni.upf
ATOMIC_POSITIONS angstrom
Pa 2.055 0.000 0.000
Sb 0.000 0.000 2.305
Sb 0.000 2.305 0.000
Ni 2.055 2.305 2.305
CELL_PARAMETERS angstrom
4.111 0.000 0.000
0.000 4.610 0.000
0.000 0.000 4.610
```

Calculated values
DFT total energy: -6.16 eV/atom
symmetry: P4/mmm, No. 123
E_form (uncorrected): -0.280 eV/atom
ΔE to the lowest computed polymorph: 0.267 eV/atom

=====

## SbOsI3 (PBE)

Data for a relaxed SbOsI3 crystal. Values from VASP.

```
&SYSTEM
  ibrav = 0, nat = 5, ntyp = 3
/
ATOMIC_SPECIES
I 126.90 I.upf
Sb 121.76 Sb.upf
Os 190.23 Os.upf
ATOMIC_POSITIONS angstrom
I 1.926 -1.306 1.324
I -1.792 -0.792 1.825
I 0.499 2.199 1.443
Sb 0.633 0.101 4.592
Os 0.000 0.000 0.000
CELL_PARAMETERS angstrom
-3.583 -1.583 3.650
3.852 -2.612 2.648
0.998 4.398 2.887
```

Calculated values
DFT total energy: -3.22 eV/atom
symmetry: Pm-3m, No. 221
E_form (uncorrected): 0.780 eV/atom
ΔE to the lowest computed polymorph: 0.000 eV/atom

=====

## Nd4ErCo4 (PBE)

Data for a relaxed Nd4ErCo4 crystal. Values from VASP.

```
&SYSTEM
  ibrav = 0, nat = 18, ntyp = 3
/
ATOMIC_SPECIES
Co 58.93 Co.upf
Nd 144.24 Nd.upf
Er 167.26 Er.upf
ATOMIC_POSITIONS angstrom
Co 1.869 1.037 1.530
Co 3.624 2.464 5.323
Co 4.435 3.672 7.095
Co 6.435 -1.587 4.633
Co 7.325 2.180 4.109
Co 9.162 1.449 2.947
Co 5.218 -3.464 5.139
Co 3.302 -0.363 2.648
Nd 5.102 -2.960 2.353
Nd 3.089 -1.785 5.402
Nd 7.524 -0.483 1.940
Nd 6.518 1.915 7.098
Nd 3.554 3.046 2.271
Nd 1.110 0.850 4.254
Nd 8.996 0.105 5.436
Nd 5.478 4.698 4.668
Er 0.000 0.000 0.000
Er 5.171 0.673 4.178
CELL_PARAMETERS angstrom
-0.973 -1.608 5.478
7.455 -4.116 0.116
3.861 7.071 2.762
```

Calculated values
DFT total energy: -5.77 eV/atom
symmetry: P4_2/n, No. 86
ΔE_f: 18 meV per atom

=====

## Dy2Y8Tm (PBE)

Data for a relaxed Dy2Y8Tm crystal. Values from VASP.

```
&SYSTEM
  ibrav = 0, nat = 11, ntyp = 3
/
ATOMIC_SPECIES
Dy 162.50 Dy.upf
Y 88.91 Y.upf
Tm 168.93 Tm.upf
ATOMIC_POSITIONS angstrom
Dy 5.686 0.734 -0.159
Dy -5.336 6.170 9.735
Y -1.652 5.612 4.219
Y -2.884 5.173 7.534
Y -0.194 1.292 2.911
Y 3.234 1.731 2.042
Y 0.544 5.612 6.665
Y 2.001 1.292 5.357
Y -1.114 2.677 5.945
Y 1.463 4.227 3.631
Tm 0.000 0.000 0.000
CELL_PARAMETERS angstrom
9.136 -2.160 -3.256
-4.567 6.904 4.099
-4.220 2.160 8.733
```

Calculated values
DFT total energy: -5.81 eV/atom
symmetry: C2/m, No. 12
ΔE_f: 131 meV per atom
ΔE to the lowest computed polymorph: 0.000 eV/atom

=====

## CsGe3Cl (PBE)

Data for a relaxed CsGe3Cl crystal. Values from VASP.

```
&SYSTEM
  ibrav = 0, nat = 5, ntyp = 3
/
ATOMIC_SPECIES
Cl 35.45 Cl.upf
Cs 132.91 Cs.upf
Ge 72.64 Ge.upf
ATOMIC_POSITIONS angstrom
Cl -0.813 -5.072 0.091
Cs 0.000 0.000 0.000
Ge 1.840 -2.008 1.175
Ge -0.352 -1.721 -2.390
Ge -2.300 -1.343 1.306
CELL_PARAMETERS angstrom
-0.705 -3.443 -4.780
3.679 -4.017 2.351
-4.600 -2.685 2.612
```

Calculated values
DFT total energy: -1.64 eV/atom
symmetry: Pm-3m, No. 221
E_form (uncorrected): 1.673 eV/atom
ΔE to the lowest computed polymorph: 1.092 eV/atom

=====

## CrFe2Ge (PBE)

Data for a relaxed CrFe2Ge crystal. Values from VASP.

```
&SYSTEM
  ibrav = 0, nat = 8, ntyp = 3
/
ATOMIC_SPECIES
Cr 52.00 Cr.upf
Ge 72.64 Ge.upf
Fe 55.84 Fe.upf
ATOMIC_POSITIONS angstrom
Cr 1.646 -0.641 4.302
Cr 4.923 -0.503 5.583
Ge 0.000 0.000 0.000
Ge 0.872 0.945 7.349
Fe 3.200 0.780 6.511
Fe -0.128 0.662 5.097
Fe 3.849 -0.761 3.520
Fe 4.669 0.204 10.735
CELL_PARAMETERS angstrom
-2.405 0.807 6.068
5.698 -2.089 2.536
2.503 1.724 4.327
```

Calculated values
DFT total energy: -7.31 eV/atom
symmetry: I-42d, No. 122
ΔE_f: 486 meV per atom